A | ZrGaCoOs: optimized geometry, PBE-GGA.

Results
- Crystal system: cubic

a = 4.4671 Å, b = 4.4671 Å, c = 4.4671 Å
α = 60.00°, β = 60.00°, γ = 60.00°
Sites, in units of the cell vectors:
Zr 0.0000 0.0000 0.0000
Ga 0.2500 0.2500 0.2500
Co 0.5000 0.5000 0.5000
Os 0.7500 0.7500 0.7500

***

B | ZrGaCoOs: optimized geometry, PBE-GGA.

Results
- Crystal system: cubic

a = 4.4026 Å, b = 4.4026 Å, c = 4.4026 Å
α = 60.00°, β = 60.00°, γ = 60.00°
Sites, in units of the cell vectors:
Zr 0.0000 0.0000 0.0000
Ga 0.5000 0.5000 0.5000
Co 0.7500 0.7500 0.7500
Os 0.2500 0.2500 0.2500

***

Which of them is most stable, and which least? Most stable: B; least stable: A.

***

A | GaCoPdW: optimized geometry, PBE-GGA.

Results
- Crystal system: cubic

a = 4.3137 Å, b = 4.3137 Å, c = 4.3137 Å
α = 60.00°, β = 60.00°, γ = 60.00°
Sites, in units of the cell vectors:
Ga 0.0000 0.0000 0.0000
Co 0.2500 0.2500 0.2500
Pd 0.7500 0.7500 0.7500
W 0.5000 0.5000 0.5000

***

B | GaCoPdW: optimized geometry, PBE-GGA.

Results
- Crystal system: cubic

a = 4.3060 Å, b = 4.3060 Å, c = 4.3060 Å
α = 60.00°, β = 60.00°, γ = 60.00°
Sites, in units of the cell vectors:
Ga 0.0000 0.0000 0.0000
Co 0.2500 0.2500 0.2500
Pd 0.5000 0.5000 0.5000
W 0.7500 0.7500 0.7500

***

Which of them is most stable, and which least? Most stable: A; least stable: B.

***

A | YGaCoPd: optimized geometry, PBE-GGA.

Results
- Crystal system: cubic

a = 4.6406 Å, b = 4.6406 Å, c = 4.6406 Å
α = 60.00°, β = 60.00°, γ = 60.00°
Sites, in units of the cell vectors:
Y 0.0000 0.0000 0.0000
Ga 0.2500 0.2500 0.2500
Co 0.5000 0.5000 0.5000
Pd 0.7500 0.7500 0.7500

***

B | YGaCoPd: optimized geometry, PBE-GGA.

Results
- Crystal system: cubic

a = 4.5642 Å, b = 4.5642 Å, c = 4.5642 Å
α = 60.00°, β = 60.00°, γ = 60.00°
Sites, in units of the cell vectors:
Y 0.0000 0.0000 0.0000
Ga 0.5000 0.5000 0.5000
Co 0.7500 0.7500 0.7500
Pd 0.2500 0.2500 0.2500

***

Which of them is most stable, and which least? Most stable: B; least stable: A.

***

A | YGaCoPt: optimized geometry, PBE-GGA.

Results
- Crystal system: cubic

a = 4.5815 Å, b = 4.5815 Å, c = 4.5815 Å
α = 60.00°, β = 60.00°, γ = 60.00°
Sites, in units of the cell vectors:
Y 0.0000 0.0000 0.0000
Ga 0.5000 0.5000 0.5000
Co 0.7500 0.7500 0.7500
Pt 0.2500 0.2500 0.2500

***

B | YGaCoPt: optimized geometry, PBE-GGA.

Results
- Crystal system: cubic

a = 4.6355 Å, b = 4.6355 Å, c = 4.6355 Å
α = 60.00°, β = 60.00°, γ = 60.00°
Sites, in units of the cell vectors:
Y 0.0000 0.0000 0.0000
Ga 0.2500 0.2500 0.2500
Co 0.5000 0.5000 0.5000
Pt 0.7500 0.7500 0.7500

***

Which of them is most stable, and which least? Most stable: A; least stable: B.

***

A | GaCoRe: optimized geometry, PBE-GGA.

Results
- Crystal system: cubic

a = 4.0622 Å, b = 4.0622 Å, c = 4.0622 Å
α = 60.00°, β = 60.00°, γ = 60.00°
Sites, in units of the cell vectors:
Ga 0.0000 0.0000 0.0000
Co 0.5000 0.5000 0.5000
Re 0.7500 0.7500 0.7500

***

B | GaCoRe: optimized geometry, PBE-GGA.

Results
- Crystal system: tetragonal

a = 3.3146 Å, b = 3.3146 Å, c = 4.9987 Å
α = 90.00°, β = 90.00°, γ = 90.00°
Sites, in units of the cell vectors:
Ga 0.0000 0.0000 0.0000
Co 0.5000 0.5000 0.5000
Re 0.0000 0.0000 0.5000

***

Which of them is most stable, and which least? Most stable: A; least stable: B.

***

A | ZnGaCoRe: optimized geometry, PBE-GGA.

Results
- Crystal system: cubic

a = 4.2477 Å, b = 4.2477 Å, c = 4.2477 Å
α = 60.00°, β = 60.00°, γ = 60.00°
Sites, in units of the cell vectors:
Zn 0.0000 0.0000 0.0000
Ga 0.2500 0.2500 0.2500
Co 0.5000 0.5000 0.5000
Re 0.7500 0.7500 0.7500

***

B | ZnGaCoRe: optimized geometry, PBE-GGA.

Results
- Crystal system: cubic

a = 4.2260 Å, b = 4.2260 Å, c = 4.2260 Å
α = 60.00°, β = 60.00°, γ = 60.00°
Sites, in units of the cell vectors:
Zn 0.0000 0.0000 0.0000
Ga 0.5000 0.5000 0.5000
Co 0.7500 0.7500 0.7500
Re 0.2500 0.2500 0.2500

***

Which of them is most stable, and which least? Most stable: B; least stable: A.

***

A | Ta4GaCo: optimized geometry, PBE-GGA.

Results
- Crystal system: tetragonal

a = 6.2539 Å, b = 6.2539 Å, c = 5.0277 Å
α = 90.00°, β = 90.00°, γ = 90.00°
Sites, in units of the cell vectors:
Ta 0.1457 0.3298 0.0000
Ta 0.1457 0.6702 0.5000
Ta 0.3298 0.1457 0.5000
Ta 0.3298 0.8543 0.0000
Ta 0.6702 0.1457 0.0000
Ta 0.6702 0.8543 0.5000
Ta 0.8543 0.3298 0.5000
Ta 0.8543 0.6702 0.0000
Ga 0.5000 0.5000 0.2500
Ga 0.5000 0.5000 0.7500
Co 0.0000 0.0000 0.2500
Co 0.0000 0.0000 0.7500

***

B | Ta4GaCo: optimized geometry, PBE-GGA.

Results
- Crystal system: tetragonal

a = 5.0797 Å, b = 5.0797 Å, c = 5.0797 Å
α = 103.81°, β = 103.81°, γ = 121.51°
Sites, in units of the cell vectors:
Ta 0.0924 0.5924 0.1848
Ta 0.4076 0.9076 0.8152
Ta 0.5924 0.4076 0.5000
Ta 0.9076 0.0924 0.5000
Ga 0.0000 0.0000 0.0000
Co 0.5000 0.5000 0.0000

***

Which of them is most stable, and which least? Most stable: A; least stable: B.

***

A | ZrGaCoTc: optimized geometry, PBE-GGA.

Results
- Crystal system: cubic

a = 4.4028 Å, b = 4.4028 Å, c = 4.4028 Å
α = 60.00°, β = 60.00°, γ = 60.00°
Sites, in units of the cell vectors:
Zr 0.0000 0.0000 0.0000
Ga 0.5000 0.5000 0.5000
Co 0.7500 0.7500 0.7500
Tc 0.2500 0.2500 0.2500

***

B | ZrGaCoTc: optimized geometry, PBE-GGA.

Results
- Crystal system: cubic

a = 4.4735 Å, b = 4.4735 Å, c = 4.4735 Å
α = 60.00°, β = 60.00°, γ = 60.00°
Sites, in units of the cell vectors:
Zr 0.0000 0.0000 0.0000
Ga 0.2500 0.2500 0.2500
Co 0.5000 0.5000 0.5000
Tc 0.7500 0.7500 0.7500

***

Which of them is most stable, and which least? Most stable: A; least stable: B.

***

A | NaGdCoS3: optimized geometry, PBE-GGA.

Results
- Crystal system: monoclinic

a = 8.0567 Å, b = 3.8612 Å, c = 8.9574 Å
α = 90.00°, β = 102.28°, γ = 90.00°
Sites, in units of the cell vectors:
Na 0.1851 0.2500 0.2020
Na 0.8149 0.7500 0.7980
Gd 0.3286 0.7500 0.8496
Gd 0.6714 0.2500 0.1504
Co 0.0793 0.2500 0.5834
Co 0.9207 0.7500 0.4166
S 0.0870 0.2500 0.8411
S 0.1880 0.7500 0.5279
S 0.4306 0.7500 0.1616
S 0.5694 0.2500 0.8384
S 0.8120 0.2500 0.4721
S 0.9130 0.7500 0.1589

***

B | NaGdCoS3: optimized geometry, PBE-GGA.

Results
- Crystal system: orthorhombic

a = 10.5526 Å, b = 3.8854 Å, c = 12.8237 Å
α = 90.00°, β = 90.00°, γ = 90.00°
Sites, in units of the cell vectors:
Na 0.2119 0.2500 0.0024
Na 0.2881 0.7500 0.5024
Na 0.7119 0.2500 0.4976
Na 0.7881 0.7500 0.9976
Gd 0.0146 0.7500 0.2633
Gd 0.4854 0.2500 0.7633
Gd 0.5146 0.7500 0.2367
Gd 0.9854 0.2500 0.7367
Co 0.2340 0.7500 0.7795
Co 0.2660 0.2500 0.2795
Co 0.7340 0.7500 0.7205
Co 0.7660 0.2500 0.2205
S 0.0563 0.7500 0.8767
S 0.1041 0.2500 0.3932
S 0.2404 0.2500 0.6779
S 0.2596 0.7500 0.1779
S 0.3959 0.7500 0.8932
S 0.4437 0.2500 0.3767
S 0.5563 0.7500 0.6233
S 0.6041 0.2500 0.1068
S 0.7404 0.2500 0.8221
S 0.7596 0.7500 0.3221
S 0.8959 0.7500 0.6068
S 0.9437 0.2500 0.1233

***

Which of them is most stable, and which least? Most stable: A; least stable: B.